Crystalline ZrGaB at its relaxed geometry. Source: the Open Quantum Materials Database, functional PBE-GGA.

a = 5.6111 Å, b = 5.6111 Å, c = 5.6111 Å
α = 90.00°, β = 90.00°, γ = 90.00°
Sites, in units of the cell vectors:
Zr1 0.0000 0.0000 0.0000
Zr2 0.0000 0.5000 0.5000
Zr3 0.5000 0.0000 0.5000
Zr4 0.5000 0.5000 0.0000
Ga1 0.0000 0.0000 0.5000
Ga2 0.0000 0.5000 0.0000
Ga3 0.5000 0.0000 0.0000
Ga4 0.5000 0.5000 0.5000
B1 0.2500 0.2500 0.7500
B2 0.2500 0.7500 0.2500
B3 0.7500 0.2500 0.2500
B4 0.7500 0.7500 0.7500

Summary:
DFT total energy: -74.59 eV/cell
Excess energy over the best structure of this formula in the dataset: 0 meV per atom

Crystalline Zr3GaB4 at its relaxed geometry. Source: the Open Quantum Materials Database, functional PBE-GGA.

a = 3.1777 Å, b = 3.5880 Å, c = 8.6752 Å
α = 90.00°, β = 90.00°, γ = 90.00°
Sites, in units of the cell vectors:
Zr1 0.0000 0.0000 0.0000
Zr2 0.5000 0.0000 0.3125
Zr3 0.5000 0.0000 0.6875
Ga1 0.0000 0.5000 0.5000
B1 0.0000 0.5000 0.2092
B2 0.0000 0.5000 0.7908
B3 0.5000 0.5000 0.1096
B4 0.5000 0.5000 0.8904

Summary:
DFT total energy: -61.76 eV/cell

Crystalline Zr4GaB3 at its relaxed geometry. Source: the Open Quantum Materials Database, functional PBE-GGA.

a = 3.4498 Å, b = 3.4498 Å, c = 25.7417 Å
α = 90.00°, β = 90.00°, γ = 120.00°
Sites, in units of the cell vectors:
Zr1 0.0000 0.0000 0.1624
Zr2 0.0000 0.0000 0.3376
Zr3 0.0000 0.0000 0.6624
Zr4 0.0000 0.0000 0.8376
Zr5 0.3333 0.6667 0.0565
Zr6 0.3333 0.6667 0.4435
Zr7 0.6667 0.3333 0.5565
Zr8 0.6667 0.3333 0.9435
Ga1 0.3333 0.6667 0.2500
Ga2 0.6667 0.3333 0.7500
B1 0.0000 0.0000 0.0000
B2 0.0000 0.0000 0.5000
B3 0.3333 0.6667 0.6132
B4 0.3333 0.6667 0.8868
B5 0.6667 0.3333 0.1132
B6 0.6667 0.3333 0.3868

Summary:
DFT total energy: -121.21 eV/cell

Crystalline GdB at its relaxed geometry. Source: the Open Quantum Materials Database, functional PBE-GGA.

a = 3.4844 Å, b = 3.4844 Å, c = 3.6866 Å
α = 90.00°, β = 90.00°, γ = 120.00°
Sites, in units of the cell vectors:
Gd1 0.0000 0.0000 0.0000
B1 0.3333 0.6667 0.5000

Summary:
DFT total energy: -10.21 eV/cell
Excess energy over the best structure of this formula in the dataset: 186 meV per atom

Crystalline GdB at its relaxed geometry. Source: the Open Quantum Materials Database, functional PBE-GGA.

a = 5.4174 Å, b = 5.4174 Å, c = 5.4174 Å
α = 90.00°, β = 90.00°, γ = 90.00°
Sites, in units of the cell vectors:
Gd1 0.0000 0.0000 0.0000
Gd2 0.0000 0.5000 0.5000
Gd3 0.5000 0.0000 0.5000
Gd4 0.5000 0.5000 0.0000
B1 0.0000 0.0000 0.5000
B2 0.0000 0.5000 0.0000
B3 0.5000 0.0000 0.0000
B4 0.5000 0.5000 0.5000

Summary:
DFT total energy: -42.33 eV/cell
Excess energy over the best structure of this formula in the dataset: 0 meV per atom

Crystalline Gd2B5 at its relaxed geometry. Source: the Open Quantum Materials Database, functional PBE-GGA.

a = 7.1361 Å, b = 7.1421 Å, c = 7.1695 Å
α = 90.00°, β = 102.65°, γ = 90.00°
Sites, in units of the cell vectors:
Gd1 0.2331 0.1912 0.1279
Gd2 0.2331 0.3088 0.6279
Gd3 0.2414 0.6843 0.2556
Gd4 0.2414 0.8157 0.7556
Gd5 0.7586 0.1843 0.2444
Gd6 0.7586 0.3157 0.7444
Gd7 0.7669 0.6912 0.3721
Gd8 0.7669 0.8088 0.8721
B1 0.0762 0.5086 0.9279
B2 0.0762 0.9914 0.4279
B3 0.3151 0.5016 0.9607
B4 0.3151 0.9984 0.4607
B5 0.4969 0.1733 0.4600
B6 0.4969 0.3267 0.9600
B7 0.4970 0.5387 0.8262
B8 0.4970 0.9613 0.3262
B9 0.4992 0.5899 0.5899
B10 0.4992 0.9101 0.0899
B11 0.5008 0.0899 0.9101
B12 0.5008 0.4101 0.4101
B13 0.5030 0.0387 0.6738
B14 0.5030 0.4613 0.1738
B15 0.5031 0.6733 0.0400
B16 0.5031 0.8267 0.5400
B17 0.6849 0.0016 0.5393
B18 0.6849 0.4984 0.0393
B19 0.9238 0.0086 0.5721
B20 0.9238 0.4914 0.0721

Summary:
DFT total energy: -187.37 eV/cell

Crystalline GdB at its relaxed geometry. Source: the Open Quantum Materials Database, functional PBE-GGA.

a = 4.4192 Å, b = 4.4192 Å, c = 5.4740 Å
α = 90.00°, β = 90.00°, γ = 120.00°
Sites, in units of the cell vectors:
Gd1 0.3333 0.6667 0.2500
Gd2 0.6667 0.3333 0.7500
B1 0.3333 0.6667 0.7500
B2 0.6667 0.3333 0.2500

Summary:
DFT total energy: -19.85 eV/cell
Excess energy over the best structure of this formula in the dataset: 329 meV per atom

Crystalline GdB at its relaxed geometry. Source: the Open Quantum Materials Database, functional PBE-GGA.

a = 5.7822 Å, b = 5.7822 Å, c = 5.7822 Å
α = 90.00°, β = 90.00°, γ = 90.00°
Sites, in units of the cell vectors:
Gd1 0.0000 0.0000 0.0000
Gd2 0.0000 0.5000 0.5000
Gd3 0.5000 0.0000 0.5000
Gd4 0.5000 0.5000 0.0000
B1 0.2500 0.2500 0.2500
B2 0.2500 0.7500 0.7500
B3 0.7500 0.2500 0.7500
B4 0.7500 0.7500 0.2500

Summary:
DFT total energy: -38.19 eV/cell
Excess energy over the best structure of this formula in the dataset: 516 meV per atom

Crystalline GdGeB4 at its relaxed geometry. Source: the Open Quantum Materials Database, functional PBE-GGA.

a = 3.1746 Å, b = 3.1746 Å, c = 7.7907 Å
α = 90.00°, β = 90.00°, γ = 120.00°
Sites, in units of the cell vectors:
Gd1 0.0000 0.0000 0.0000
Ge1 0.0000 0.0000 0.5000
B1 0.3333 0.6667 0.2579
B2 0.3333 0.6667 0.7422
B3 0.6667 0.3333 0.2579
B4 0.6667 0.3333 0.7422

Summary:
DFT total energy: -35.56 eV/cell
Excess energy over the best structure of this formula in the dataset: 142 meV per atom

Crystalline GdGeB4 at its relaxed geometry. Source: the Open Quantum Materials Database, functional PBE-GGA.

a = 3.1841 Å, b = 5.1636 Å, c = 8.2933 Å
α = 90.00°, β = 90.00°, γ = 90.00°
Sites, in units of the cell vectors:
Gd1 0.0000 0.0000 0.0000
Gd2 0.5000 0.5000 0.5000
Ge1 0.0000 0.0000 0.5000
Ge2 0.5000 0.5000 0.0000
B1 0.0000 0.3247 0.2611
B2 0.0000 0.3247 0.7389
B3 0.0000 0.6753 0.2611
B4 0.0000 0.6753 0.7389
B5 0.5000 0.1753 0.2389
B6 0.5000 0.1753 0.7611
B7 0.5000 0.8247 0.2389
B8 0.5000 0.8247 0.7611

Summary:
DFT total energy: -72.83 eV/cell
Excess energy over the best structure of this formula in the dataset: 0 meV per atom

Crystalline GdGe2B2 at its relaxed geometry. Source: the Open Quantum Materials Database, functional PBE-GGA.

a = 4.1907 Å, b = 4.1907 Å, c = 8.4699 Å
α = 90.00°, β = 90.00°, γ = 90.00°
Sites, in units of the cell vectors:
Gd1 0.0000 0.0000 0.0000
Gd2 0.5000 0.5000 0.5000
Ge1 0.0000 0.0000 0.3455
Ge2 0.0000 0.0000 0.6545
Ge3 0.5000 0.5000 0.1545
Ge4 0.5000 0.5000 0.8455
B1 0.0000 0.5000 0.2500
B2 0.0000 0.5000 0.7500
B3 0.5000 0.0000 0.2500
B4 0.5000 0.0000 0.7500

Summary:
DFT total energy: -52.15 eV/cell

Crystalline Gd2GeB2O8 at its relaxed geometry. Source: the Open Quantum Materials Database, functional PBE-GGA.

a = 13.4820 Å, b = 4.3932 Å, c = 9.2486 Å
α = 90.00°, β = 90.00°, γ = 90.00°
Sites, in units of the cell vectors:
Gd1 0.1402 0.0400 0.0246
Gd2 0.1402 0.9600 0.5246
Gd3 0.3598 0.4600 0.5246
Gd4 0.3598 0.5400 0.0246
Gd5 0.6402 0.4600 0.9754
Gd6 0.6402 0.5400 0.4754
Gd7 0.8598 0.0400 0.4754
Gd8 0.8598 0.9600 0.9754
Ge1 0.0000 0.4283 0.7500
Ge2 0.0000 0.5717 0.2500
Ge3 0.5000 0.0717 0.2500
Ge4 0.5000 0.9283 0.7500
B1 0.2001 0.4690 0.2973
B2 0.2001 0.5310 0.7973
B3 0.2999 0.0310 0.7973
B4 0.2999 0.9690 0.2973
B5 0.7001 0.0310 0.7027
B6 0.7001 0.9690 0.2027
B7 0.7999 0.4690 0.2027
B8 0.7999 0.5310 0.7027
O1 0.0040 0.2046 0.9040
O2 0.0040 0.7954 0.4040
O3 0.1073 0.3347 0.2331
O4 0.1073 0.6653 0.7331
O5 0.1916 0.4622 0.4528
O6 0.1916 0.5378 0.9528
O7 0.2140 0.2143 0.7421
O8 0.2140 0.7857 0.2421
O9 0.2860 0.2857 0.2421
O10 0.2860 0.7143 0.7421
O11 0.3084 0.0378 0.9528
O12 0.3084 0.9622 0.4528
O13 0.3927 0.1653 0.7331
O14 0.3927 0.8347 0.2331
O15 0.4960 0.2954 0.4040
O16 0.4960 0.7046 0.9040
O17 0.5040 0.2954 0.0960
O18 0.5040 0.7046 0.5960
O19 0.6073 0.1653 0.7669
O20 0.6073 0.8347 0.2669
O21 0.6916 0.0378 0.5472
O22 0.6916 0.9622 0.0472
O23 0.7140 0.2857 0.2579
O24 0.7140 0.7143 0.7579
O25 0.7860 0.2143 0.7579
O26 0.7860 0.7857 0.2579
O27 0.8084 0.4622 0.0472
O28 0.8084 0.5378 0.5472
O29 0.8927 0.3347 0.2669
O30 0.8927 0.6653 0.7669
O31 0.9960 0.2046 0.5960
O32 0.9960 0.7954 0.0960

Summary:
DFT total energy: -411.74 eV/cell